Record 1
# PBE La2ZnRe, relaxed
data_La2ZnRe
_cell_length_a 8.0089
_cell_length_b 3.4922
_cell_length_c 8.0002
_cell_angle_alpha 90.00
_cell_angle_beta 99.30
_cell_angle_gamma 90.00
_space_group_name_H-M_alt 'C 1 2/m 1'
_space_group_IT_number 12
loop_
_space_group_symop_operation_xyz
'x,y,z'
'-x,-y,-z'
'-x,y,-z'
'x,-y,z'
'x+1/2,y+1/2,z'
'-x+1/2,-y+1/2,-z'
'-x+1/2,y+1/2,-z'
'x+1/2,-y+1/2,z'
loop_
_atom_site_label
_atom_site_fract_x
_atom_site_fract_y
_atom_site_fract_z
La1 0.2471 0.0000 0.2115
Zn1 0.0000 0.0000 0.5000
Re1 0.0000 0.5000 0.0000
# Energy of formation from the pure elements: 1.275 eV/f.u.
# Crystal system: monoclinic
# Total magnetization: 0.000 μB/atom
# V: 27.6 A^3/atom


Record 2
# PBE Ti2CoRe2, relaxed
data_Ti2CoRe2
_cell_length_a 2.9904
_cell_length_b 16.8476
_cell_length_c 2.9713
_cell_angle_alpha 90.00
_cell_angle_beta 90.00
_cell_angle_gamma 90.00
_space_group_name_H-M_alt 'C m m m'
_space_group_IT_number 65
_space_group_name_Hall '-C 2 2'
loop_
_atom_site_label
_atom_site_fract_x
_atom_site_fract_y
_atom_site_fract_z
Ti1 0.0000 0.0888 0.0000
Co1 0.0000 0.5000 0.5000
Re1 0.0000 0.3112 0.5000
# Energy of formation from the pure elements: 0.143 eV/f.u.
# Crystal system: orthorhombic
# Total magnetization: 0.017 μB/atom
# V: 15.0 A^3/atom


Record 3
# PBE LiGaBi2, relaxed
data_LiGaBi2
_cell_length_a 4.9004
_cell_length_b 4.9004
_cell_length_c 4.2191
_cell_angle_alpha 90.00
_cell_angle_beta 90.00
_cell_angle_gamma 90.00
_space_group_name_H-M_alt 'P 4/m m m'
_space_group_IT_number 123
_space_group_name_Hall '-P 4 2'
loop_
_atom_site_label
_atom_site_fract_x
_atom_site_fract_y
_atom_site_fract_z
Li1 0.0000 0.0000 0.0000
Ga1 0.5000 0.5000 0.0000
Bi1 0.0000 0.5000 0.5000
# Energy of formation from the pure elements: -0.473 eV/f.u.
# Crystal system: tetragonal
# Total magnetization: 0.000 μB/atom
# V: 25.3 A^3/atom


Record 4
# PBE FeAsSe2, relaxed
data_FeAsSe2
_cell_length_a 3.6034
_cell_length_b 3.6168
_cell_length_c 7.7038
_cell_angle_alpha 90.00
_cell_angle_beta 90.00
_cell_angle_gamma 90.00
_space_group_name_H-M_alt 'P m m m'
_space_group_IT_number 47
loop_
_space_group_symop_operation_xyz
'x,y,z'
'-x,-y,-z'
'-x,-y,z'
'x,y,-z'
'x,-y,-z'
'-x,y,z'
'-x,y,-z'
'x,-y,z'
loop_
_atom_site_label
_atom_site_fract_x
_atom_site_fract_y
_atom_site_fract_z
Fe1 0.0000 0.0000 0.0000
As1 0.0000 0.5000 0.5000
Se1 0.5000 0.0000 0.5000
Se2 0.5000 0.5000 0.0000
# Crystal system: orthorhombic
# Total magnetization: 0.940 μB/atom
# V: 25.1 A^3/atom
# E_tot: -4.63 eV per atom


Record 5
# PBE AcCePrNd, relaxed
data_AcCePrNd
_cell_length_a 8.4231
_cell_length_b 8.4231
_cell_length_c 8.4231
_cell_angle_alpha 90.00
_cell_angle_beta 90.00
_cell_angle_gamma 90.00
_space_group_name_H-M_alt 'F -4 3 m'
_space_group_IT_number 216
_space_group_name_Hall 'F -4 2 3'
loop_
_atom_site_label
_atom_site_fract_x
_atom_site_fract_y
_atom_site_fract_z
Ac1 0.0000 0.0000 0.0000
Ce1 0.0000 0.0000 0.5000
Pr1 0.2500 0.2500 0.7500
Nd1 0.2500 0.2500 0.2500
# Energy of formation from the pure elements: 0.897 eV/f.u.
# Crystal system: cubic
# Total magnetization: 0.606 μB/atom
# V: 37.4 A^3/atom


Record 6
# PBE KNaGa, relaxed
data_KNaGa
_cell_length_a 13.5325
_cell_length_b 4.5295
_cell_length_c 7.1888
_cell_angle_alpha 90.00
_cell_angle_beta 92.06
_cell_angle_gamma 90.00
_space_group_name_H-M_alt 'C 1 m 1'
_space_group_IT_number 8
loop_
_space_group_symop_operation_xyz
'x,y,z'
'x,-y,z'
'x+1/2,y+1/2,z'
'x+1/2,-y+1/2,z'
loop_
_atom_site_label
_atom_site_fract_x
_atom_site_fract_y
_atom_site_fract_z
K1 0.0000 0.0000 0.0000
K2 0.0921 0.5000 0.5017
Na1 0.2810 0.0000 0.7880
Na2 0.3525 0.5000 0.4382
Ga1 0.2190 0.5000 0.0610
Ga2 0.2430 0.0000 0.2197
# E above lowest polymorph: 0.000 eV per atom
# Energy of formation from the pure elements: -0.108 eV/f.u.
# Crystal system: monoclinic
# Total magnetization: 0.000 μB/atom
# V: 36.7 A^3/atom


Record 7
# PBE Sm2CuPtO5, relaxed
data_Sm2CuPtO5
_cell_length_a 6.7257
_cell_length_b 6.7257
_cell_length_c 5.7444
_cell_angle_alpha 90.00
_cell_angle_beta 90.00
_cell_angle_gamma 90.00
_space_group_name_H-M_alt 'P 4/m b m'
_space_group_IT_number 127
_space_group_name_Hall '-P 4 2ab'
loop_
_atom_site_label
_atom_site_fract_x
_atom_site_fract_y
_atom_site_fract_z
Sm1 0.1756 0.3244 0.0000
Cu1 0.0000 0.0000 0.5000
Pt1 0.0000 0.5000 0.5000
O1 0.0000 0.0000 0.0000
O2 0.1371 0.6371 0.2436
# Crystal system: tetragonal
# Total magnetization: 0.106 μB/atom
# V: 14.4 A^3/atom
# E_tot: -6.73 eV per atom


Record 8
# PBE HoNpIn2Te4, relaxed
data_HoNpIn2Te4
_cell_length_a 7.6821
_cell_length_b 4.4113
_cell_length_c 8.5053
_cell_angle_alpha 90.00
_cell_angle_beta 107.39
_cell_angle_gamma 90.00
_space_group_name_H-M_alt 'P 1 2/m 1'
_space_group_IT_number 10
loop_
_space_group_symop_operation_xyz
'x,y,z'
'-x,-y,-z'
'-x,y,-z'
'x,-y,z'
loop_
_atom_site_label
_atom_site_fract_x
_atom_site_fract_y
_atom_site_fract_z
Ho1 0.0000 0.0000 0.0000
Np1 0.5000 0.5000 0.0000
In1 0.0000 0.5000 0.5000
In2 0.5000 0.0000 0.5000
Te1 0.2345 0.5000 0.2188
Te2 0.2561 0.0000 0.7801
# Crystal system: monoclinic
# Total magnetization: 0.502 μB/atom
# V: 34.4 A^3/atom
# E_tot: -5.16 eV per atom